[1]
Below is an optimized crystal structure of TbHgBi, with properties calculated at the PBE-GGA level.

Values from the calculation:
The calculation puts the total energy at -3.358 eV/atom. The calculation puts the spin magnetization at 0.000 μB per formula unit. As for the energy above the most stable polymorph in this dataset: 0.035 eV/atom. For the formation enthalpy at 0 K, the calculation gives -421 meV/atom. As for the space-group type: F-43m.

Cell and atoms, written as POSCAR:
```
TbHgBi
1.0
-5.0099 0.7403 1.1772
-2.1696 -2.6474 3.9137
-1.3026 2.4566 4.3933
Hg Bi Tb
1 1 1
direct
0.5000 0.5000 0.5000
0.0000 0.0000 0.0000
0.2500 0.2500 0.2500
```



[2]
Below is an optimized crystal structure of Bi3WC, with properties calculated at the PBE-GGA level.

Values from the calculation:
The calculation puts the total energy at -5.097 eV/atom. The calculation puts the spin magnetization at 2.244 μB per formula unit. As for the energy above the most stable polymorph in this dataset: 0.000 eV/atom. For the formation enthalpy at 0 K, the calculation gives 1667 meV/atom. The density of states at the Fermi level comes out at 4.7 states/eV per cell. As for the space-group type: Pm-3m.

Cell and atoms, written as POSCAR:
```
Bi3WC
1.0
4.8824 0.0000 0.0000
0.0000 4.8824 0.0000
0.0000 0.0000 4.8824
Bi C W
3 1 1
direct
0.0000 0.5000 0.0000
0.0000 0.0000 0.5000
0.5000 0.0000 0.0000
0.0000 0.0000 0.0000
0.5000 0.5000 0.5000
```



[3]
Below is an optimized crystal structure of Sr4PtRh, with properties calculated at the PBE-GGA level.

Values from the calculation:
The calculation puts the total energy at -2.570 eV/atom. The calculation puts the spin magnetization at 0.000 μB per formula unit. As for the energy above the most stable polymorph in this dataset: 1.239 eV/atom. For the formation enthalpy at 0 K, the calculation gives 783 meV/atom. The density of states at the Fermi level comes out at 5.6 states/eV per cell. As for the space-group type: F-43m.

Cell and atoms, written as POSCAR:
```
Sr4PtRh
1.0
0.0431 -4.7220 4.2778
-2.4344 0.9443 5.8121
-5.4558 -2.8372 1.6684
Sr Rh Pt
4 1 1
direct
0.8752 0.3749 0.3749
0.3749 0.3749 0.8752
0.3749 0.8752 0.3749
0.3749 0.3749 0.3749
0.0000 0.0000 0.0000
0.7500 0.7500 0.7500
```



Q: Which of these has the highest spin magnetization?
A: Bi3WC



Q: Which value of formation enthalpy at 0 K does entry 1 give?
A: -421 meV/atom



Q: Among the records above, which one has the lowest formation enthalpy at 0 K?
A: TbHgBi